[1]
The following is a DFT calculation (meta-GGA SCAN) of LiBP2 at its PBEsol-relaxed geometry.

The total energy is -7.739 eV/atom. The crystal system is tetragonal. The density of states at the Fermi level comes out at 2.1 states/eV per cell. For the total moment, the calculation gives 0.0 μB per cell. The value obtained for the energy of formation from the pure elements is -0.085 eV per atom.

The structure belongs to space group I-42d (No. 122); the cell edges are 6.085, 6.085 and 5.345 Å and the angles 90.00°, 90.00° and 90.00°. The asymmetric unit holds Li at (0.000, 0.000, 0.000), B at (0.000, 0.000, 0.500) and P at (0.180, 0.750, 0.625).

***

[2]
The following is a DFT calculation (meta-GGA SCAN) of Cu2SbAs at its PBEsol-relaxed geometry.

The uncorrected formation energy is 31 kJ per mole of atoms. The total energy is -21.640 eV/atom. As for the relative energy among the computed polymorphs: 203.0 meV/atom. The crystal system is tetragonal. The density of states at the Fermi level comes out at 2.7 states/eV per cell. For the total moment, the calculation gives 0.0 μB per cell.

The structure belongs to space group I4/mmm (No. 139); the cell edges are 4.237, 4.237 and 7.398 Å and the angles 90.00°, 90.00° and 90.00°. The asymmetric unit holds Cu at (0.000, 0.500, 0.250), Sb at (0.000, 0.000, 0.000) and As at (0.000, 0.000, 0.500).

***

[3]
The following is a DFT calculation (meta-GGA SCAN) of MgCo2Ni at its PBEsol-relaxed geometry.

The total energy is -13.855 eV/atom. The crystal system is tetragonal. The density of states at the Fermi level comes out at 3.3 states/eV per cell. For the total moment, the calculation gives 3.9 μB per cell. The value obtained for the energy of formation from the pure elements is 0.084 eV per atom.

The structure belongs to space group P4mm (No. 99); the cell edges are 2.643, 2.643 and 6.816 Å and the angles 90.00°, 90.00° and 90.00°. The asymmetric unit holds Mg at (0.000, 0.000, 0.000), Co at (0.000, 0.000, 0.506), Co at (0.500, 0.500, 0.716) and Ni at (0.500, 0.500, 0.276).

***

[4]
The following is a DFT calculation (meta-GGA SCAN) of TiAgMoAu2 at its PBEsol-relaxed geometry.

The total energy is -43.187 eV/atom. The crystal system is tetragonal. The density of states at the Fermi level comes out at 1.8 states/eV per cell. For the total moment, the calculation gives 0.7 μB per cell. The value obtained for the energy of formation from the pure elements is 0.932 eV per atom.

The structure belongs to space group P4/mmm (No. 123); the cell edges are 4.870, 4.870 and 4.365 Å and the angles 90.00°, 90.00° and 90.00°. The asymmetric unit holds Ti at (0.000, 0.000, 0.000), Ag at (0.500, 0.500, 0.500), Mo at (0.000, 0.000, 0.500) and Au at (0.000, 0.500, 0.000).

***

[5]
The following is a DFT calculation (meta-GGA SCAN) of TlCrAs2Se at its PBEsol-relaxed geometry.

The uncorrected formation energy is 13 kJ per mole of atoms. The total energy is -30.104 eV/atom. As for the relative energy among the computed polymorphs: 0.0 meV/atom. The crystal system is tetragonal. The density of states at the Fermi level comes out at 2.6 states/eV per cell. For the total moment, the calculation gives 1.3 μB per cell.

The structure belongs to space group P4/mmm (No. 123); the cell edges are 4.580, 4.580 and 5.183 Å and the angles 90.00°, 90.00° and 90.00°. The asymmetric unit holds Tl at (0.000, 0.000, 0.000), Cr at (0.500, 0.500, 0.500), As at (0.000, 0.500, 0.500) and Se at (0.500, 0.500, 0.000).

***

[6]
The following is a DFT calculation (meta-GGA SCAN) of LiScAu2 at its PBEsol-relaxed geometry.

The total energy is -39.551 eV/atom. As for the relative energy among the computed polymorphs: 48.3 meV/atom. The crystal system is tetragonal. The density of states at the Fermi level comes out at 2.8 states/eV per cell. For the total moment, the calculation gives 0.0 μB per cell. The value obtained for the energy of formation from the pure elements is -0.816 eV per atom.

The structure belongs to space group I-4m2 (No. 119); the cell edges are 4.001, 4.001 and 8.336 Å and the angles 90.00°, 90.00° and 90.00°. The asymmetric unit holds Li at (0.000, 0.000, 0.000), Sc at (0.000, 0.500, 0.750), Au at (0.000, 0.000, 0.500) and Au at (0.000, 0.500, 0.250).